Below is InBI2N after structural relaxation, with properties calculated at the GGA-PBE level.

## Properties
M_tot = 0.00 μB per formula unit
Uncorrected energy = -4.151 eV per atom
Formation energy without anion corrections = 0.017 eV/atom
D(E_F) = 0.5793 states/eV/atom
Energy relative to the lowest polymorph listed for this composition = 0 meV/atom

Unit cell a=6.8872 b=6.8872 c=2.8474 alpha=90.00 beta=90.00 gamma=90.00
Fractional positions:
In  0.0000  0.0000  0.0000
B  0.5000  0.5000  0.5000
I  0.0000  0.5000  0.5000
I  0.5000  0.0000  0.5000
N  0.5000  0.5000  0.0000